1.
VASP calculation (PBE-GGA) on a relaxed structure of Pu3H.

Unit cell a=5.7634 b=5.7634 c=5.7634 alpha=147.89 beta=67.28 gamma=122.63
Sites, in units of the cell vectors:
Pu 0.0000 0.0000 0.0000
Pu 0.3169 0.4867 0.8301
Pu 0.6566 0.4867 0.1699
H 0.3323 0.8323 0.5000

Computed properties:
Final energy ... -11.398 eV per atom
Volume ... 84.6 Å³/cell



2.
VASP calculation (PBE-GGA) on a relaxed structure of LiYCd.

Unit cell a=4.9870 b=4.9870 c=3.2754 alpha=90.00 beta=90.00 gamma=120.00
Sites, in units of the cell vectors:
Li 0.0000 0.0000 0.0000
Y 0.3333 0.6667 0.5000
Cd 0.6667 0.3333 0.0000

Computed properties:
ΔE_f ... -0.172 eV/atom
Final energy ... -3.269 eV per atom
Volume ... 70.5 Å³/cell



3.
VASP calculation (PBE-GGA) on a relaxed structure of Mg3Pa3PdN8.

Unit cell a=6.4727 b=6.4727 c=6.4974 alpha=116.98 beta=116.98 gamma=63.10
Sites, in units of the cell vectors:
Mg 0.0000 0.0000 0.0000
Mg 0.0000 0.5000 0.5000
Mg 0.5000 0.0000 0.5000
Pa 0.0000 0.5000 0.0000
Pa 0.5000 0.0000 0.0000
Pa 0.5000 0.5000 0.5000
Pd 0.0000 0.0000 0.5000
N 0.2378 0.2378 0.7476
N 0.2424 0.7437 0.2559
N 0.2498 0.2498 0.2498
N 0.2563 0.7576 0.7441
N 0.7437 0.2424 0.2559
N 0.7502 0.7502 0.7502
N 0.7576 0.2563 0.7441
N 0.7622 0.7622 0.2524

Computed properties:
Uncorrected formation energy ... -13.2 eV/f.u.
Final energy ... -7.882 eV per atom
Volume ... 205.5 Å³/cell



> Which of these has the highest volume?

Mg3Pa3PdN8



> What is the formula in the third record?

Mg3Pa3PdN8



> final energy of number 2 (LiYCd)?

-3.269 eV per atom



> Which of these has the lowest final energy?

Pu3H